Entry from the Alexandria database: crystalline RbAgH3 at its relaxed geometry (PBE).

a b c (Å): 3.990 5.202 9.519
angles (deg): 90.00 106.41 90.00
Positions (direct):
Ag: 0.556 0.750 0.081
Ag: 0.444 0.250 0.919
H: 0.934 0.250 0.906
H: 0.320 0.750 0.451
H: 0.483 0.750 0.422
H: 0.066 0.750 0.094
H: 0.680 0.250 0.549
H: 0.517 0.250 0.578
Rb: 0.843 0.750 0.765
Rb: 0.157 0.250 0.235

Values from the calculation:
The value obtained for the energy is -2.708 eV per atom. The total magnetization is 0.000 μB/atom. As for the space group: P2_1/m (11). The calculation puts the energy above the most stable polymorph in this dataset at 0 meV/atom. Its theoretical density is 3.441 g/cm³.


Entry from the Alexandria database: crystalline CaZr3Mn at its relaxed geometry (PBE).

a b c (Å): 4.942 4.942 4.942
angles (deg): 90.00 90.00 90.00
Site moments in Bohr magnetons follow the coordinates.
Positions (direct):
Zr: 0.500 0.000 0.000  -0.02
Zr: 0.000 0.500 0.000  0.04
Zr: 0.000 0.000 0.500  0.01
Mn: 0.500 0.500 0.500  0.31
Ca: 0.000 0.000 0.000  0.02

Values from the calculation:
The value obtained for the energy is -5.198 eV per atom. The total magnetization is 0.058 μB/atom. As for the space group: Pm-3m (221). The value obtained for the formation energy is 2.16 eV per atom. The calculation puts the energy above the most stable polymorph in this dataset at 1870 meV/atom. Its theoretical density is 5.072 g/cm³.


Entry from the Alexandria database: crystalline TiNb3W at its relaxed geometry (PBE).

a b c (Å): 4.853 4.853 4.853
angles (deg): 90.00 90.00 90.00
Positions (direct):
Nb: 0.500 0.000 0.000
Nb: 0.000 0.500 0.000
Nb: 0.000 0.000 0.500
Ti: 0.500 0.500 0.500
W: 0.000 0.000 0.000

Values from the calculation:
The value obtained for the energy is -8.882 eV per atom. The total magnetization is 0.001 μB/atom. As for the space group: Pm-3m (221). The value obtained for the formation energy is 1.33 eV per atom. The calculation puts the energy above the most stable polymorph in this dataset at 1330 meV/atom. Its theoretical density is 7.414 g/cm³.


Entry from the Alexandria database: crystalline Ac2ZnAs4Ir3 at its relaxed geometry (PBE).

a b c (Å): 4.506 4.506 9.962
angles (deg): 90.00 90.00 90.00
Positions (direct):
Ir: 0.500 0.000 0.888
Ir: 0.000 0.000 0.500
Ir: 0.000 0.500 0.112
Zn: 0.500 0.500 0.500
As: 0.000 0.000 0.000
As: 0.500 0.000 0.634
As: 0.500 0.500 0.000
As: 0.000 0.500 0.366
Ac: 0.000 0.500 0.755
Ac: 0.500 0.000 0.245

Values from the calculation:
The value obtained for the energy is -6.183 eV per atom. The total magnetization is 0.000 μB/atom. As for the space group: P-4m2 (115). The value obtained for the formation energy is -0.72 eV per atom. Its theoretical density is 11.460 g/cm³.


Entry from the Alexandria database: crystalline CrGeMo3 at its relaxed geometry (PBE).

a b c (Å): 4.547 4.547 4.547
angles (deg): 90.00 90.00 90.00
Positions (direct):
Ge: 0.000 0.000 0.000
Mo: 0.000 0.500 0.000
Mo: 0.000 0.000 0.500
Mo: 0.500 0.000 0.000
Cr: 0.500 0.500 0.500

Values from the calculation:
The value obtained for the energy is -7.661 eV per atom. The total magnetization is 0.000 μB/atom. As for the space group: Pm-3m (221). The value obtained for the formation energy is 1.69 eV per atom. The calculation puts the energy above the most stable polymorph in this dataset at 475 meV/atom. Its theoretical density is 7.287 g/cm³.


Entry from the Alexandria database: crystalline Al4Ir5 at its relaxed geometry (PBE).

a b c (Å): 6.139 6.139 6.139
angles (deg): 96.08 96.08 142.01
Positions (direct):
Al: 0.000 0.698 0.698
Al: 0.000 0.302 0.302
Al: 0.302 0.000 0.302
Al: 0.698 0.000 0.698
Ir: 0.669 0.669 0.337
Ir: 0.000 0.000 0.000
Ir: 0.669 0.331 0.000
Ir: 0.331 0.669 0.000
Ir: 0.331 0.331 0.663

Values from the calculation:
The value obtained for the energy is -7.049 eV per atom. The total magnetization is 0.000 μB/atom. As for the space group: I4/mmm (139). The value obtained for the formation energy is -0.46 eV per atom. The calculation puts the energy above the most stable polymorph in this dataset at 73 meV/atom. Its theoretical density is 13.180 g/cm³.